1:
! Co2Si2Sb (GGA-PBE, optimized geometry); values from VASP
! Fermi-level density of states = 3.44 states/eV/f.u.
! symmetry = P4/mbm
&SYSTEM
  ibrav = 0, nat = 10, ntyp = 3
/
ATOMIC_SPECIES
Sb 121.76 Sb.upf
Si 28.09 Si.upf
Co 58.93 Co.upf
CELL_PARAMETERS angstrom
7.094 0.000 0.000
0.000 7.094 0.000
0.000 0.000 2.738
ATOMIC_POSITIONS angstrom
Sb 0.000 0.000 0.000
Sb 3.547 3.547 0.000
Si 0.987 4.534 1.369
Si 4.534 6.107 1.369
Si 6.107 2.560 1.369
Si 2.560 0.987 1.369
Co 2.533 6.080 0.000
Co 6.080 4.561 0.000
Co 4.561 1.014 0.000
Co 1.014 2.533 0.000

***

2:
! Co2Si2Sb (GGA-PBE, optimized geometry); values from VASP
! Fermi-level density of states = 2.78 states/eV/f.u.
! symmetry = I4/mmm
&SYSTEM
  ibrav = 0, nat = 5, ntyp = 3
/
ATOMIC_SPECIES
Sb 121.76 Sb.upf
Si 28.09 Si.upf
Co 58.93 Co.upf
CELL_PARAMETERS angstrom
-0.767 -0.043 3.468
-1.119 -3.359 -0.289
4.294 -3.543 2.724
ATOMIC_POSITIONS angstrom
Sb 0.000 0.000 0.000
Si 1.292 -2.644 3.891
Si 1.117 -4.302 2.012
Co 0.334 -2.150 1.866
Co 2.075 -4.795 4.037

***

Q: Which of them is the least stable? A: 1.

***

1:
! Co2SiSb2 (GGA-PBE, optimized geometry); values from VASP
! Fermi-level density of states = 3.40 states/eV/f.u.
! symmetry = I4/mmm
&SYSTEM
  ibrav = 0, nat = 5, ntyp = 3
/
ATOMIC_SPECIES
Co 58.93 Co.upf
Si 28.09 Si.upf
Sb 121.76 Sb.upf
CELL_PARAMETERS angstrom
0.355 3.850 3.849
1.646 4.521 -2.572
-4.138 -3.353 -1.183
ATOMIC_POSITIONS angstrom
Co 1.252 5.239 0.800
Co 0.749 3.132 0.478
Si 0.000 0.000 0.000
Sb -0.746 2.677 -1.558
Sb -1.392 2.341 1.653

***

2:
! Co2SiSb2 (GGA-PBE, optimized geometry); values from VASP
! Fermi-level density of states = 5.92 states/eV/f.u.
! symmetry = I4/mmm
&SYSTEM
  ibrav = 0, nat = 5, ntyp = 3
/
ATOMIC_SPECIES
Co 58.93 Co.upf
Si 28.09 Si.upf
Sb 121.76 Sb.upf
CELL_PARAMETERS angstrom
-1.729 1.729 7.666
1.729 -1.729 7.666
1.729 1.729 -7.666
ATOMIC_POSITIONS angstrom
Co 1.729 0.000 3.833
Co 0.000 1.729 3.833
Si 0.000 0.000 0.000
Sb 0.000 0.000 9.521
Sb 0.000 0.000 5.812

***

Q: Which of them is the least stable? A: 1.

***

1:
! CoSiSb3 (GGA-PBE, optimized geometry); values from VASP
! Fermi-level density of states = 4.93 states/eV/f.u.
! symmetry = Pm-3m
&SYSTEM
  ibrav = 0, nat = 5, ntyp = 3
/
ATOMIC_SPECIES
Sb 121.76 Sb.upf
Si 28.09 Si.upf
Co 58.93 Co.upf
CELL_PARAMETERS angstrom
4.921 0.000 0.000
0.000 4.921 0.000
0.000 0.000 4.921
ATOMIC_POSITIONS angstrom
Sb 0.000 2.460 0.000
Sb 0.000 0.000 2.460
Sb 2.460 0.000 0.000
Si 2.460 2.460 2.460
Co 0.000 0.000 0.000

***

2:
! CoSiSb3 (GGA-PBE, optimized geometry); values from VASP
! Fermi-level density of states = 5.86 states/eV/f.u.
! symmetry = Pm-3m
&SYSTEM
  ibrav = 0, nat = 5, ntyp = 3
/
ATOMIC_SPECIES
Sb 121.76 Sb.upf
Si 28.09 Si.upf
Co 58.93 Co.upf
CELL_PARAMETERS angstrom
-0.189 -4.403 -2.551
4.899 -0.849 1.102
-1.378 -2.413 4.267
ATOMIC_POSITIONS angstrom
Sb 2.449 -0.425 0.551
Sb -0.689 -1.207 2.134
Sb -0.095 -2.202 -1.276
Si 0.000 0.000 0.000
Co 1.666 -3.833 1.409

***

Q: Which of them is the least stable? A: 2.